Version A
DFT (PBE) results for crystalline La2Sb2I at its relaxed geometry.

## Properties
- Calculated volume: 174 Å³/f.u.

a = 4.5485 Å, b = 4.5485 Å, c = 8.9853 Å
α = 75.34°, β = 75.34°, γ = 90.00°
Each line ends with the local moment (μB).
Fractional positions:
I: 0.0000 0.0000 0.0000  0.00
Sb: 0.7500 0.2500 0.5000  -0.01
Sb: 0.2500 0.7500 0.5000  -0.01
La: 0.3853 0.3853 0.2295  0.10
La: 0.6147 0.6147 0.7705  0.10



Version B
DFT (PBE) results for crystalline La2Sb2I at its relaxed geometry.

## Properties
- Calculated volume: 187 Å³/f.u.

a = 5.9791 Å, b = 5.9791 Å, c = 6.7303 Å
α = 63.63°, β = 63.63°, γ = 90.00°
Fractional positions:
I: 0.0000 0.0000 0.0000
Sb: 0.3632 0.3632 0.2735
Sb: 0.6368 0.6368 0.7265
La: 0.7500 0.2500 0.5000
La: 0.2500 0.7500 0.5000



Energy comparison, zero being the most stable, in kJ/mol of atoms: version A 9.2; version B 0.0.



Version A
DFT (PBE) results for crystalline LaSbSeI2 at its relaxed geometry.

## Properties
- Calculated volume: 247 Å³/f.u.

a = 6.0969 Å, b = 6.0969 Å, c = 6.6442 Å
α = 90.00°, β = 90.00°, γ = 90.00°
Each line ends with the local moment (μB).
Fractional positions:
I: 0.0000 0.5000 0.0000  0.02
I: 0.5000 0.0000 0.0000  0.02
Sb: 0.0000 0.0000 0.5000  0.12
Se: 0.5000 0.5000 0.5000  0.69
La: 0.0000 0.0000 0.0000  0.02



Version B
DFT (PBE) results for crystalline LaSbSeI2 at its relaxed geometry.

## Properties
- Calculated volume: 178 Å³/f.u.

a = 5.6537 Å, b = 5.6537 Å, c = 5.5652 Å
α = 90.00°, β = 90.00°, γ = 90.00°
Each line ends with the local moment (μB).
Fractional positions:
I: 0.0000 0.5000 0.0000  -0.01
I: 0.5000 0.0000 0.0000  -0.01
Sb: 0.0000 0.0000 0.5000  -0.01
Se: 0.0000 0.0000 0.0000  0.00
La: 0.5000 0.5000 0.5000  0.21



Energy comparison, zero being the most stable, in kJ/mol of atoms: version A 3.2; version B 0.0.



Version A
DFT (PBE) results for crystalline LaSiSb2I at its relaxed geometry.

## Properties
- Calculated volume: 155 Å³/f.u.

a = 5.2752 Å, b = 5.2752 Å, c = 5.5534 Å
α = 90.00°, β = 90.00°, γ = 90.00°
Fractional positions:
I: 0.0000 0.0000 0.5000
Sb: 0.0000 0.5000 0.0000
Sb: 0.5000 0.0000 0.0000
Si: 0.0000 0.0000 0.0000
La: 0.5000 0.5000 0.5000



Version B
DFT (PBE) results for crystalline LaSiSb2I at its relaxed geometry.

## Properties
- Calculated volume: 227 Å³/f.u.

a = 6.1489 Å, b = 6.1489 Å, c = 6.0022 Å
α = 90.00°, β = 90.00°, γ = 90.00°
Fractional positions:
I: 0.0000 0.0000 0.5000
Sb: 0.0000 0.5000 0.0000
Sb: 0.5000 0.0000 0.0000
Si: 0.5000 0.5000 0.5000
La: 0.0000 0.0000 0.0000



Energy comparison, zero being the most stable, in kJ/mol of atoms: version A 0.0; version B 74.6.



Version A
DFT (PBE) results for crystalline SrLaSbI2 at its relaxed geometry.

## Properties
- Calculated volume: 229 Å³/f.u.

a = 5.9245 Å, b = 5.9245 Å, c = 6.5129 Å
α = 90.00°, β = 90.00°, γ = 90.00°
Each line ends with the local moment (μB).
Fractional positions:
I: 0.0000 0.5000 0.0000  0.00
I: 0.5000 0.0000 0.0000  0.00
Sb: 0.0000 0.0000 0.5000  -0.02
Sr: 0.0000 0.0000 0.0000  0.00
La: 0.5000 0.5000 0.5000  0.24



Version B
DFT (PBE) results for crystalline SrLaSbI2 at its relaxed geometry.

## Properties
- Calculated volume: 238 Å³/f.u.

a = 6.1288 Å, b = 6.1288 Å, c = 6.3445 Å
α = 90.00°, β = 90.00°, γ = 90.00°
Fractional positions:
I: 0.0000 0.5000 0.0000
I: 0.5000 0.0000 0.0000
Sb: 0.0000 0.0000 0.5000
Sr: 0.5000 0.5000 0.5000
La: 0.0000 0.0000 0.0000



Energy comparison, zero being the most stable, in kJ/mol of atoms: version A 33.1; version B 0.0.



Version A
DFT (PBE) results for crystalline SrLaSb2I at its relaxed geometry.

## Properties
- Calculated volume: 208 Å³/f.u.

a = 5.9235 Å, b = 5.9235 Å, c = 5.9391 Å
α = 90.00°, β = 90.00°, γ = 90.00°
Fractional positions:
I: 0.0000 0.0000 0.5000
Sb: 0.0000 0.5000 0.0000
Sb: 0.5000 0.0000 0.0000
Sr: 0.0000 0.0000 0.0000
La: 0.5000 0.5000 0.5000



Version B
DFT (PBE) results for crystalline SrLaSb2I at its relaxed geometry.

## Properties
- Calculated volume: 225 Å³/f.u.

a = 6.0295 Å, b = 6.0295 Å, c = 6.1878 Å
α = 90.00°, β = 90.00°, γ = 90.00°
Fractional positions:
I: 0.0000 0.0000 0.5000
Sb: 0.0000 0.5000 0.0000
Sb: 0.5000 0.0000 0.0000
Sr: 0.5000 0.5000 0.5000
La: 0.0000 0.0000 0.0000



Energy comparison, zero being the most stable, in kJ/mol of atoms: version A 36.2; version B 0.0.



Version A
DFT (PBE) results for crystalline LaTcSb2I at its relaxed geometry.

## Properties
- Calculated volume: 149 Å³/f.u.

a = 5.1390 Å, b = 5.1390 Å, c = 5.6507 Å
α = 90.00°, β = 90.00°, γ = 90.00°
Fractional positions:
I: 0.0000 0.0000 0.5000
Sb: 0.0000 0.5000 0.0000
Sb: 0.5000 0.0000 0.0000
Tc: 0.0000 0.0000 0.0000
La: 0.5000 0.5000 0.5000



Version B
DFT (PBE) results for crystalline LaTcSb2I at its relaxed geometry.

## Properties
- Calculated volume: 226 Å³/f.u.

a = 6.1119 Å, b = 6.1119 Å, c = 6.0499 Å
α = 90.00°, β = 90.00°, γ = 90.00°
Each line ends with the local moment (μB).
Fractional positions:
I: 0.0000 0.0000 0.5000  0.01
Sb: 0.0000 0.5000 0.0000  -0.07
Sb: 0.5000 0.0000 0.0000  -0.07
Tc: 0.5000 0.5000 0.5000  4.01
La: 0.0000 0.0000 0.0000  0.01



Energy comparison, zero being the most stable, in kJ/mol of atoms: version A 0.0; version B 101.5.



Version A
DFT (PBE) results for crystalline LaTcSbI2 at its relaxed geometry.

## Properties
- Calculated volume: 153 Å³/f.u.

a = 5.4330 Å, b = 5.4330 Å, c = 5.1736 Å
α = 90.00°, β = 90.00°, γ = 90.00°
Fractional positions:
I: 0.0000 0.5000 0.0000
I: 0.5000 0.0000 0.0000
Sb: 0.0000 0.0000 0.5000
Tc: 0.0000 0.0000 0.0000
La: 0.5000 0.5000 0.5000



Version B
DFT (PBE) results for crystalline LaTcSbI2 at its relaxed geometry.

## Properties
- Calculated volume: 240 Å³/f.u.

a = 6.1268 Å, b = 6.1268 Å, c = 6.3904 Å
α = 90.00°, β = 90.00°, γ = 90.00°
Each line ends with the local moment (μB).
Fractional positions:
I: 0.0000 0.5000 0.0000  0.02
I: 0.5000 0.0000 0.0000  0.02
Sb: 0.0000 0.0000 0.5000  -0.11
Tc: 0.5000 0.5000 0.5000  4.07
La: 0.0000 0.0000 0.0000  0.01



Energy comparison, zero being the most stable, in kJ/mol of atoms: version A 0.0; version B 53.5.



Version A
DFT (PBE) results for crystalline LaSbTe2I at its relaxed geometry.

## Properties
- Calculated volume: 191 Å³/f.u.

a = 5.7492 Å, b = 5.7492 Å, c = 5.7654 Å
α = 90.00°, β = 90.00°, γ = 90.00°
Fractional positions:
I: 0.0000 0.0000 0.0000
Sb: 0.0000 0.0000 0.5000
Te: 0.0000 0.5000 0.0000
Te: 0.5000 0.0000 0.0000
La: 0.5000 0.5000 0.5000



Version B
DFT (PBE) results for crystalline LaSbTe2I at its relaxed geometry.

## Properties
- Calculated volume: 237 Å³/f.u.

a = 6.2382 Å, b = 6.2382 Å, c = 6.0821 Å
α = 90.00°, β = 90.00°, γ = 90.00°
Each line ends with the local moment (μB).
Fractional positions:
I: 0.0000 0.0000 0.5000  0.01
Sb: 0.5000 0.5000 0.5000  0.70
Te: 0.0000 0.5000 0.0000  -0.18
Te: 0.5000 0.0000 0.0000  -0.18
La: 0.0000 0.0000 0.0000  0.01



Energy comparison, zero being the most stable, in kJ/mol of atoms: version A 32.1; version B 0.0.



Version A
DFT (PBE) results for crystalline LaSbTe2I at its relaxed geometry.

## Properties
- Calculated volume: 236 Å³/f.u.

a = 6.0573 Å, b = 6.0573 Å, c = 6.4454 Å
α = 90.00°, β = 90.00°, γ = 90.00°
Fractional positions:
I: 0.5000 0.5000 0.5000
Sb: 0.0000 0.0000 0.5000
Te: 0.0000 0.5000 0.0000
Te: 0.5000 0.0000 0.0000
La: 0.0000 0.0000 0.0000



Version B
DFT (PBE) results for crystalline LaSbTe2I at its relaxed geometry.

## Properties
- Calculated volume: 195 Å³/f.u.

a = 5.8473 Å, b = 5.8473 Å, c = 5.7075 Å
α = 90.00°, β = 90.00°, γ = 90.00°
Each line ends with the local moment (μB).
Fractional positions:
I: 0.0000 0.0000 0.5000  0.00
Sb: 0.0000 0.0000 0.0000  0.00
Te: 0.0000 0.5000 0.0000  -0.01
Te: 0.5000 0.0000 0.0000  -0.01
La: 0.5000 0.5000 0.5000  0.28



Energy comparison, zero being the most stable, in kJ/mol of atoms: version A 29.7; version B 0.0.



Version A
DFT (PBE) results for crystalline LaTlSb2I at its relaxed geometry.

## Properties
- Calculated volume: 250 Å³/f.u.

a = 6.0018 Å, b = 6.0018 Å, c = 6.9268 Å
α = 90.00°, β = 90.00°, γ = 90.00°
Each line ends with the local moment (μB).
Fractional positions:
I: 0.5000 0.5000 0.5000  -0.02
Sb: 0.0000 0.5000 0.0000  -0.04
Sb: 0.5000 0.0000 0.0000  -0.04
Tl: 0.0000 0.0000 0.5000  0.06
La: 0.0000 0.0000 0.0000  0.07



Version B
DFT (PBE) results for crystalline LaTlSb2I at its relaxed geometry.

## Properties
- Calculated volume: 237 Å³/f.u.

a = 6.1246 Å, b = 6.1246 Å, c = 6.3114 Å
α = 90.00°, β = 90.00°, γ = 90.00°
Each line ends with the local moment (μB).
Fractional positions:
I: 0.0000 0.0000 0.5000  0.04
Sb: 0.0000 0.5000 0.0000  0.06
Sb: 0.5000 0.0000 0.0000  0.06
Tl: 0.5000 0.5000 0.5000  0.00
La: 0.0000 0.0000 0.0000  0.01



Energy comparison, zero being the most stable, in kJ/mol of atoms: version A 39.8; version B 0.0.



Version A
DFT (PBE) results for crystalline LaYSb2I at its relaxed geometry.

## Properties
- Calculated volume: 192 Å³/f.u.

a = 5.7847 Å, b = 5.7847 Å, c = 5.7344 Å
α = 90.00°, β = 90.00°, γ = 90.00°
Each line ends with the local moment (μB).
Fractional positions:
I: 0.0000 0.0000 0.5000  0.00
Sb: 0.0000 0.5000 0.0000  0.00
Sb: 0.5000 0.0000 0.0000  0.00
Y: 0.0000 0.0000 0.0000  0.00
La: 0.5000 0.5000 0.5000  0.21



Version B
DFT (PBE) results for crystalline LaYSb2I at its relaxed geometry.

## Properties
- Calculated volume: 205 Å³/f.u.

a = 5.6277 Å, b = 6.4626 Å, c = 5.6277 Å
α = 90.00°, β = 90.00°, γ = 90.00°
Fractional positions:
I: 0.5000 0.5000 0.5000
Sb: 0.0000 0.0000 0.5000
Sb: 0.5000 0.0000 0.0000
Y: 0.0000 0.0000 0.0000
La: 0.0000 0.5000 0.0000



Version C
DFT (PBE) results for crystalline LaYSb2I at its relaxed geometry.

## Properties
- Calculated volume: 216 Å³/f.u.

a = 6.0432 Å, b = 6.0432 Å, c = 5.9132 Å
α = 90.00°, β = 90.00°, γ = 90.00°
Fractional positions:
I: 0.0000 0.0000 0.5000
Sb: 0.0000 0.5000 0.0000
Sb: 0.5000 0.0000 0.0000
Y: 0.5000 0.5000 0.5000
La: 0.0000 0.0000 0.0000



Energy comparison, zero being the most stable, in kJ/mol of atoms: version A 0.0; version B 39.1; version C 41.6.



Version A
DFT (PBE) results for crystalline LaZnSb2I at its relaxed geometry.

## Properties
- Calculated volume: 246 Å³/f.u.

a = 6.2594 Å, b = 6.2594 Å, c = 6.2720 Å
α = 90.00°, β = 90.00°, γ = 90.00°
Each line ends with the local moment (μB).
Fractional positions:
I: 0.0000 0.0000 0.5000  0.08
Sb: 0.0000 0.5000 0.0000  0.26
Sb: 0.5000 0.0000 0.0000  0.26
Zn: 0.5000 0.5000 0.5000  0.03
La: 0.0000 0.0000 0.0000  0.04



Version B
DFT (PBE) results for crystalline LaZnSb2I at its relaxed geometry.

## Properties
- Calculated volume: 157 Å³/f.u.

a = 5.1597 Å, b = 5.1597 Å, c = 5.8946 Å
α = 90.00°, β = 90.00°, γ = 90.00°
Fractional positions:
I: 0.0000 0.0000 0.5000
Sb: 0.0000 0.5000 0.0000
Sb: 0.5000 0.0000 0.0000
Zn: 0.0000 0.0000 0.0000
La: 0.5000 0.5000 0.5000



Energy comparison, zero being the most stable, in kJ/mol of atoms: version A 42.0; version B 0.0.